No. 1
This record from Alexandria describes a relaxed structure of Ti3PdS. The functional is PBE-GGA.

Cell: 4.784 4.784 4.784 Å, 90.00 90.00 90.00°
Fractional positions:
1 Ti 0.000 0.000 0.500
2 Ti 0.000 0.500 0.000
3 Ti 0.500 0.000 0.000
4 Pd 0.000 0.000 0.000
5 S 0.500 0.500 0.500

Values from the calculation:
energy relative to the elements, uncorrected: 0.525 eV per atom
offset from the most stable computed form: 5.57 eV per formula unit
space-group type: No. 221

No. 2
This record from Alexandria describes a relaxed structure of TiPdS2. The functional is PBE-GGA.

Cell: 6.702 6.702 6.702 Å, 29.46 29.46 29.46°
Fractional positions:
1 Ti 0.000 0.000 0.000
2 Pd 0.153 0.153 0.153
3 S 0.585 0.585 0.585
4 S 0.739 0.739 0.739

Values from the calculation:
energy relative to the elements, uncorrected: -0.833 eV per atom
space-group type: No. 160

No. 3
This record from Alexandria describes a relaxed structure of Ti3PdS. The functional is PBE-GGA.

Cell: 4.437 4.437 4.437 Å, 90.00 90.00 90.00°
Fractional positions:
1 Ti 0.000 0.000 0.500
2 Ti 0.000 0.500 0.000
3 Ti 0.500 0.000 0.000
4 Pd 0.500 0.500 0.500
5 S 0.000 0.000 0.000

Values from the calculation:
energy relative to the elements, uncorrected: -0.438 eV per atom
offset from the most stable computed form: 0.76 eV per formula unit
space-group type: No. 221

No. 4
This record from Alexandria describes a relaxed structure of TiPdS3. The functional is PBE-GGA.

Cell: 4.644 4.644 4.644 Å, 90.00 90.00 90.00°
Fractional positions:
1 Ti 0.000 0.000 0.000
2 Pd 0.500 0.500 0.500
3 S 0.000 0.500 0.500
4 S 0.500 0.000 0.500
5 S 0.500 0.500 0.000

Values from the calculation:
energy relative to the elements, uncorrected: 0.283 eV per atom
offset from the most stable computed form: 5.05 eV per formula unit
space-group type: No. 221

No. 5
This record from Alexandria describes a relaxed structure of TiPd3S. The functional is PBE-GGA.

Cell: 4.490 4.490 4.490 Å, 90.00 90.00 90.00°
Fractional positions:
1 Ti 0.000 0.000 0.000
2 Pd 0.000 0.500 0.500
3 Pd 0.500 0.000 0.500
4 Pd 0.500 0.500 0.000
5 S 0.500 0.500 0.500

Values from the calculation:
energy relative to the elements, uncorrected: -0.012 eV per atom
offset from the most stable computed form: 0.00 eV per formula unit
space-group type: No. 221

No. 6
This record from Alexandria describes a relaxed structure of Ti2Pd2S. The functional is PBE-GGA.

Cell: 6.381 6.381 4.035 Å, 90.00 90.00 90.00°
Fractional positions:
1 Ti 0.161 0.339 0.000
2 Ti 0.339 0.839 0.000
3 Ti 0.661 0.161 0.000
4 Ti 0.839 0.661 0.000
5 Pd 0.144 0.644 0.500
6 Pd 0.356 0.144 0.500
7 Pd 0.644 0.856 0.500
8 Pd 0.856 0.356 0.500
9 S 0.000 0.000 0.000
10 S 0.500 0.500 0.000

Values from the calculation:
energy relative to the elements, uncorrected: -0.562 eV per atom
space-group type: No. 127

Number 1: final energy -6.076 eV per atom. Number 2: final energy -6.169 eV per atom. Number 3: final energy -7.039 eV per atom. Number 4: final energy -4.811 eV per atom. Number 5: final energy -5.532 eV per atom. Number 6: final energy -6.623 eV per atom.